Record 1
The following is a GGA-PBE calculation of KNp6Se12 after structural relaxation, from the Alexandria database.

M_tot: 18.976 μB/f.u.
SG: R-3m (166)
Calculated total energy: -7.33 eV per atom
ΔE_f (raw): -0.9851 eV/atom

abc: 8.497 8.497 8.497
angles: 105.64 105.64 105.64
Sites, in units of the cell vectors:
Np  0.253  0.658  0.253
Np  0.253  0.253  0.658
Np  0.747  0.747  0.342
Np  0.658  0.253  0.253
Np  0.342  0.747  0.747
Np  0.747  0.342  0.747
Se  0.130  0.870  0.500
Se  0.436  0.178  0.436
Se  0.564  0.822  0.564
Se  0.870  0.130  0.500
Se  0.436  0.436  0.178
Se  0.870  0.500  0.130
Se  0.822  0.564  0.564
Se  0.500  0.870  0.130
Se  0.130  0.500  0.870
Se  0.178  0.436  0.436
Se  0.564  0.564  0.822
Se  0.500  0.130  0.870
K  0.000  0.000  0.000

Record 2
The following is a GGA-PBE calculation of Pm2YTl after structural relaxation, from the Alexandria database.

M_tot: 0.000 μB/f.u.
SG: Immm (71)
Energy relative to the elements: -0.18 eV per atom
Calculated total energy: -4.77 eV per atom

abc: 4.765 4.847 6.212
angles: 112.96 112.55 90.00
Sites, in units of the cell vectors:
Tl  0.000  0.000  0.000
Pm  0.257  0.757  0.515
Pm  0.743  0.243  0.485
Y  0.500  0.500  0.000

Record 3
The following is a GGA-PBE calculation of LaNi4Rh after structural relaxation, from the Alexandria database.

M_tot: 1.468 μB/f.u.
SG: F-43m (216)
Energy relative to the elements: -0.14 eV per atom
Calculated total energy: -6.04 eV per atom

abc: 4.970 4.970 4.970
angles: 60.00 60.00 60.00
Sites, in units of the cell vectors:
La  0.000  0.000  0.000
Ni  0.377  0.377  0.870
Ni  0.870  0.377  0.377
Ni  0.377  0.870  0.377
Ni  0.377  0.377  0.377
Rh  0.750  0.750  0.750

Record 4
The following is a GGA-PBE calculation of Ba2TlCrSb after structural relaxation, from the Alexandria database.

M_tot: 5.508 μB/f.u.
SG: P4/mmm (123)
Calculated total energy: -3.66 eV per atom
ΔE_f (raw): 0.3290 eV/atom

abc: 6.660 5.750 6.660
angles: 90.00 90.00 90.00
Sites, in units of the cell vectors:
Ba  0.500  0.000  0.000
Ba  0.000  0.000  0.500
Tl  0.000  0.500  0.000
Cr  0.500  0.500  0.500
Sb  0.000  0.000  0.000

Record 5
The following is a GGA-PBE calculation of AcSm5Tm4 after structural relaxation, from the Alexandria database.

M_tot: 0.000 μB/f.u.
SG: P4/mmm (123)
Energy relative to the elements: 0.04 eV per atom
Calculated total energy: -4.52 eV per atom

abc: 3.634 3.634 25.190
angles: 90.00 90.00 90.00
Sites, in units of the cell vectors:
Ac  0.000  0.000  0.000
Sm  0.500  0.500  0.111
Sm  0.500  0.500  0.500
Sm  0.500  0.500  0.694
Sm  0.500  0.500  0.889
Sm  0.500  0.500  0.306
Tm  0.000  0.000  0.403
Tm  0.000  0.000  0.597
Tm  0.000  0.000  0.791
Tm  0.000  0.000  0.209

Record 6
The following is a GGA-PBE calculation of RuS2Cl5 after structural relaxation, from the Alexandria database.

M_tot: 3.336 μB/f.u.
SG: P1 (1)
Calculated total energy: -3.53 eV per atom
ΔE_f (raw): -0.1827 eV/atom

abc: 4.792 8.008 7.921
angles: 76.99 72.58 72.77
Sites, in units of the cell vectors:
Cl  0.501  0.038  0.962
Cl  0.898  0.319  0.910
Cl  0.176  0.974  0.675
Cl  0.858  0.021  0.267
Cl  0.138  0.681  0.045
S  0.927  0.566  0.496
S  0.702  0.421  0.671
Ru  0.022  0.980  0.974

Record 7
The following is a GGA-PBE calculation of ZnTc after structural relaxation, from the Alexandria database.

M_tot: 0.000 μB/f.u.
SG: Cmcm (63)
Energy relative to the elements: 0.11 eV per atom
Calculated total energy: -5.71 eV per atom

abc: 2.746 5.337 4.052
angles: 90.00 90.00 104.91
Sites, in units of the cell vectors:
Zn  0.561  0.122  0.750
Zn  0.439  0.878  0.250
Tc  0.810  0.619  0.750
Tc  0.190  0.381  0.250

Record 8
The following is a GGA-PBE calculation of Zn5P after structural relaxation, from the Alexandria database.

M_tot: 0.000 μB/f.u.
SG: P-62m (189)
Energy relative to the elements: 0.16 eV per atom
Calculated total energy: -1.80 eV per atom

abc: 4.659 4.659 5.003
angles: 90.00 90.00 120.00
Sites, in units of the cell vectors:
Zn  0.329  0.329  0.000
Zn  0.667  0.333  0.500
Zn  0.671  0.000  0.000
Zn  0.333  0.667  0.500
Zn  0.000  0.671  0.000
P  0.000  0.000  0.500

Record 9
The following is a GGA-PBE calculation of TbCdPd4 after structural relaxation, from the Alexandria database.

M_tot: 0.000 μB/f.u.
SG: C2/m (12)
Energy relative to the elements: -0.59 eV per atom
Calculated total energy: -4.97 eV per atom

abc: 3.882 5.142 6.647
angles: 104.80 73.02 67.82
Sites, in units of the cell vectors:
Tb  0.500  0.500  0.500
Pd  0.344  0.988  0.323
Pd  0.656  0.012  0.677
Pd  0.828  0.506  0.838
Pd  0.172  0.494  0.162
Cd  0.000  0.000  0.000

Record 10
The following is a GGA-PBE calculation of Mg2BeCd after structural relaxation, from the Alexandria database.

M_tot: 0.000 μB/f.u.
SG: Pm (6)
Energy relative to the elements: 0.17 eV per atom
Calculated total energy: -1.79 eV per atom

abc: 4.350 3.201 5.564
angles: 72.67 90.00 90.00
Sites, in units of the cell vectors:
Mg  0.500  0.293  0.296
Mg  0.000  0.951  0.969
Be  0.000  0.694  0.487
Cd  0.500  0.562  0.748

Record 11
The following is a GGA-PBE calculation of Na2HoSnSe4 after structural relaxation, from the Alexandria database.

M_tot: 0.000 μB/f.u.
SG: P2/m (10)
Calculated total energy: -4.33 eV per atom
ΔE_f (raw): -1.1875 eV/atom

abc: 4.099 7.210 7.415
angles: 108.60 90.00 90.00
Sites, in units of the cell vectors:
Ho  0.000  0.000  0.000
Se  0.000  0.746  0.230
Se  0.500  0.242  0.227
Se  0.000  0.254  0.770
Se  0.500  0.758  0.773
Na  0.500  0.000  0.500
Na  0.000  0.500  0.500
Sn  0.500  0.500  0.000

Record 12
The following is a GGA-PBE calculation of KCrSn3 after structural relaxation, from the Alexandria database.

M_tot: 0.785 μB/f.u.
SG: Pm-3m (221)
Energy relative to the elements: 2.02 eV per atom
Calculated total energy: -2.53 eV per atom

abc: 5.646 5.646 5.646
angles: 90.00 90.00 90.00
Sites, in units of the cell vectors:
Sn  0.000  0.000  0.500
Sn  0.000  0.500  0.000
Sn  0.500  0.000  0.000
K  0.000  0.000  0.000
Cr  0.500  0.500  0.500

Record 13
The following is a GGA-PBE calculation of La2Tb5Nd12 after structural relaxation, from the Alexandria database.

M_tot: 0.000 μB/f.u.
SG: C2/m (12)
Energy relative to the elements: 0.19 eV per atom
Calculated total energy: -4.56 eV per atom

abc: 9.536 11.725 8.992
angles: 128.51 90.00 113.99
Sites, in units of the cell vectors:
Nd  0.083  0.165  0.244
Nd  0.079  0.655  0.383
Nd  0.692  0.766  0.071
Nd  0.424  0.345  0.617
Nd  0.921  0.345  0.617
Nd  0.074  0.766  0.071
Nd  0.308  0.234  0.929
Nd  0.917  0.835  0.756
Nd  0.479  0.958  0.632
Nd  0.576  0.655  0.383
Nd  0.521  0.042  0.368
Nd  0.926  0.234  0.929
Tb  0.713  0.427  0.988
Tb  0.000  0.000  0.500
Tb  0.287  0.573  0.012
Tb  0.691  0.381  0.337
Tb  0.309  0.619  0.663
La  0.323  0.000  0.000
La  0.677  0.000  0.000

Record 14
The following is a GGA-PBE calculation of Li2CeDyGe2 after structural relaxation, from the Alexandria database.

M_tot: 0.779 μB/f.u.
SG: P-3m1 (164)
Energy relative to the elements: -0.62 eV per atom
Calculated total energy: -4.55 eV per atom

abc: 4.448 4.448 7.314
angles: 90.00 90.00 120.00
Sites, in units of the cell vectors:
Ge  0.667  0.333  0.744
Ge  0.333  0.667  0.256
Ce  0.000  0.000  0.000
Dy  0.000  0.000  0.500
Li  0.667  0.333  0.277
Li  0.333  0.667  0.723

Record 15
The following is a GGA-PBE calculation of AcZnIr2 after structural relaxation, from the Alexandria database.

M_tot: 0.000 μB/f.u.
SG: P4/mmm (123)
Energy relative to the elements: -0.09 eV per atom
Calculated total energy: -5.86 eV per atom

abc: 3.973 4.426 4.426
angles: 90.00 90.00 90.00
Sites, in units of the cell vectors:
Ac  0.500  0.000  0.000
Zn  0.500  0.500  0.500
Ir  0.000  0.500  0.000
Ir  0.000  0.000  0.500

Record 16
The following is a GGA-PBE calculation of Dy4SiAs2Se after structural relaxation, from the Alexandria database.

M_tot: 0.000 μB/f.u.
SG: I-4m2 (119)
Calculated total energy: -6.00 eV per atom
ΔE_f (raw): -1.4269 eV/atom

abc: 5.810 5.810 7.122
angles: 114.07 114.07 90.00
Sites, in units of the cell vectors:
As  0.000  0.000  0.000
As  0.250  0.750  0.500
Si  0.750  0.250  0.500
Dy  0.247  0.247  0.494
Dy  0.999  0.499  0.998
Dy  0.753  0.753  0.506
Dy  0.501  0.001  0.002
Se  0.500  0.500  0.000

Record 17
The following is a GGA-PBE calculation of NaThInS4 after structural relaxation, from the Alexandria database.

M_tot: 0.000 μB/f.u.
SG: Imma (74)
Calculated total energy: -5.24 eV per atom
ΔE_f (raw): -1.2431 eV/atom

abc: 7.774 8.062 8.062
angles: 63.33 61.18 61.18
Sites, in units of the cell vectors:
Na  0.500  0.000  0.500
Na  0.000  0.000  0.500
S  0.237  0.253  0.753
S  0.242  0.758  0.758
S  0.758  0.742  0.742
S  0.242  0.258  0.258
S  0.758  0.242  0.242
S  0.244  0.747  0.247
S  0.756  0.253  0.753
S  0.763  0.747  0.247
Th  0.000  0.000  0.000
Th  0.000  0.500  0.500
In  0.646  0.604  0.104
In  0.354  0.396  0.896

Record 18
The following is a GGA-PBE calculation of KAsRhPb after structural relaxation, from the Alexandria database.

M_tot: 0.000 μB/f.u.
SG: P4/nmm (129)
Energy relative to the elements: -0.34 eV per atom
Calculated total energy: -4.54 eV per atom

abc: 4.253 4.253 12.618
angles: 90.00 90.00 90.00
Sites, in units of the cell vectors:
K  0.750  0.750  0.238
K  0.250  0.250  0.762
Rh  0.750  0.250  0.000
Rh  0.250  0.750  0.000
As  0.250  0.250  0.102
As  0.750  0.750  0.898
Pb  0.250  0.750  0.500
Pb  0.750  0.250  0.500

Record 19
The following is a GGA-PBE calculation of Dy5AlSi2 after structural relaxation, from the Alexandria database.

M_tot: 0.000 μB/f.u.
SG: I4/mcm (140)
Calculated total energy: -5.25 eV per atom
ΔE_f (raw): -0.5510 eV/atom

abc: 7.593 7.593 8.806
angles: 115.54 115.54 90.00
Sites, in units of the cell vectors:
Dy  0.032  0.532  0.717
Dy  0.500  0.500  0.000
Dy  0.468  0.314  0.283
Dy  0.686  0.186  0.717
Dy  0.314  0.814  0.283
Dy  0.968  0.468  0.283
Dy  0.000  0.000  0.000
Dy  0.532  0.686  0.717
Dy  0.186  0.032  0.717
Dy  0.814  0.968  0.283
Al  0.750  0.750  0.500
Al  0.250  0.250  0.500
Si  0.123  0.377  0.000
Si  0.877  0.623  0.000
Si  0.623  0.123  0.000
Si  0.377  0.877  0.000

Record 20
The following is a GGA-PBE calculation of NpH6Rh2 after structural relaxation, from the Alexandria database.

M_tot: 3.779 μB/f.u.
SG: C2/m (12)
Calculated total energy: -5.44 eV per atom

abc: 4.003 4.003 6.002
angles: 111.68 111.68 90.56
Sites, in units of the cell vectors:
H  0.219  0.719  0.501
H  0.470  0.406  0.826
H  0.530  0.594  0.174
H  0.094  0.030  0.174
H  0.906  0.970  0.826
H  0.781  0.281  0.499
Rh  0.743  0.757  0.500
Rh  0.257  0.243  0.500
Np  0.500  0.000  0.000

Record 21
The following is a GGA-PBE calculation of ZnHgW2 after structural relaxation, from the Alexandria database.

M_tot: 0.000 μB/f.u.
SG: I-42d (122)
Energy relative to the elements: 0.90 eV per atom
Calculated total energy: -5.97 eV per atom

abc: 3.805 3.805 10.391
angles: 79.45 79.45 90.00
Sites, in units of the cell vectors:
Hg  0.000  0.000  0.000
Hg  0.750  0.250  0.500
Zn  0.250  0.750  0.500
Zn  0.500  0.500  0.000
W  0.612  0.125  0.250
W  0.138  0.625  0.250
W  0.375  0.388  0.750
W  0.875  0.862  0.750

Record 22
The following is a GGA-PBE calculation of Na2SiCl after structural relaxation, from the Alexandria database.

M_tot: 2.948 μB/f.u.
SG: Fm-3m (225)
Calculated total energy: -2.57 eV per atom
ΔE_f (raw): -0.0887 eV/atom

abc: 5.275 5.275 5.275
angles: 60.00 60.00 60.00
Sites, in units of the cell vectors:
Cl  0.500  0.500  0.500
Na  0.750  0.750  0.750
Na  0.250  0.250  0.250
Si  0.000  0.000  0.000

Record 23
The following is a GGA-PBE calculation of HfTaP2S after structural relaxation, from the Alexandria database.

M_tot: 0.000 μB/f.u.
SG: P4/mmm (123)
Calculated total energy: -7.14 eV per atom
ΔE_f (raw): 0.2154 eV/atom

abc: 4.815 4.815 4.586
angles: 90.00 90.00 90.00
Sites, in units of the cell vectors:
Hf  0.500  0.500  0.500
P  0.500  0.000  0.000
P  0.000  0.500  0.000
Ta  0.000  0.000  0.000
S  0.000  0.000  0.500

Record 24
The following is a GGA-PBE calculation of Sr2Zn2Cu after structural relaxation, from the Alexandria database.

M_tot: 0.000 μB/f.u.
SG: I4/mmm (139)
Energy relative to the elements: 0.01 eV per atom
Calculated total energy: -1.99 eV per atom

abc: 3.853 3.853 9.652
angles: 78.49 78.49 90.00
Sites, in units of the cell vectors:
Zn  0.750  0.250  0.500
Zn  0.250  0.750  0.500
Sr  0.601  0.601  0.799
Sr  0.399  0.399  0.201
Cu  0.000  0.000  0.000